1.
Sc2BeBr: relaxed, GGA-PBEsol.

Lattice parameters (Å, degrees): 3.8452 3.8452 9.9292 90.00 90.00 90.00
With the nearest neighbours (Å) after each atom.
Space group I-4m2 (No. 119)
Unique sites:
1 Sc 0.0000 0.0000 0.0000 [2 per cell]  4 Be 2.72
2 Sc 0.0000 0.5000 0.2500 [2 per cell]  4 Br 2.72
3 Be 0.0000 0.0000 0.5000 [2 per cell]  4 Sc 2.72
4 Br 0.0000 0.5000 0.7500 [2 per cell]  4 Sc 2.72

Output
Raw total energy ... -38.58 eV/cell

***

2.
ScBe2Br: relaxed, GGA-PBEsol.

Lattice parameters (Å, degrees): 6.3089 6.3089 6.3089 90.00 90.00 90.00
With the nearest neighbours (Å) after each atom.
Space group F-43m (No. 216)
Unique sites:
1 Sc 0.0000 0.0000 0.0000 [4 per cell]  4 Be 2.73, 4 Br 2.73
2 Be 0.0000 0.0000 0.5000 [4 per cell]  4 Br 2.73, 4 Be 2.73
3 Be 0.2500 0.2500 0.2500 [4 per cell]  4 Be 2.73, 4 Sc 2.73
4 Br 0.2500 0.2500 0.7500 [4 per cell]  4 Sc 2.73, 4 Be 2.73

Output
Raw total energy ... -59.22 eV/cell